1.
Computed, not measured: an optimized crystal structure of Li2TaAl at the PBE level of DFT.

Results
The distance to the lowest polymorph of the same formula comes out at 313 meV/atom. The total magnetic moment is 0.188 μB/atom. The density of states at the Fermi level comes out at 0.6775 states/eV per atom. The formation energy comes out at 0.33 eV per atom.

a b c (Å): 5.442 5.442 5.442
angles (deg): 139.18 139.18 59.10
Site moments in Bohr magnetons follow the coordinates.
Fractional coordinates of all 4 atoms:
Li 0.000 0.000 0.000  0.02
Al 0.750 0.250 0.500  0.00
Li 0.500 0.500 0.000  0.02
Ta 0.250 0.750 0.500  0.42

***

2.
Computed, not measured: an optimized crystal structure of LiTaAl2 at the PBE level of DFT.

Results
The total magnetic moment is 0.000 μB/atom. The density of states at the Fermi level comes out at 0.3868 states/eV per atom. The formation energy comes out at 0.04 eV per atom.

a b c (Å): 2.791 2.791 8.720
angles (deg): 90.00 90.00 91.39
Fractional coordinates of all 4 atoms:
Al 0.500 0.500 0.241
Li 0.000 0.000 0.490
Ta 0.500 0.500 0.769
Al 0.000 0.000 0.001

***

3.
Computed, not measured: an optimized crystal structure of LiTaAl2 at the PBE level of DFT.

Results
The total magnetic moment is 0.000 μB/atom. The density of states at the Fermi level comes out at 0.2962 states/eV per atom. The formation energy comes out at 0.07 eV per atom.

a b c (Å): 3.002 3.002 6.981
angles (deg): 90.00 90.00 90.00
Fractional coordinates of all 4 atoms:
Al 0.500 0.500 0.268
Al 0.000 0.000 0.009
Ta 0.500 0.500 0.749
Li 0.000 0.000 0.474

***

4.
Computed, not measured: an optimized crystal structure of LiTaAl2 at the PBE level of DFT.

Results
The total magnetic moment is 0.000 μB/atom. The density of states at the Fermi level comes out at 0.2848 states/eV per atom. The formation energy comes out at -0.14 eV per atom.

a b c (Å): 4.030 4.031 3.827
angles (deg): 90.00 90.00 90.00
Fractional coordinates of all 4 atoms:
Li 0.500 0.000 0.500
Al 0.500 0.500 0.000
Ta 0.000 0.500 0.500
Al 0.000 0.000 0.000

***

5.
Computed, not measured: an optimized crystal structure of LiTaAl2 at the PBE level of DFT.

Results
The total magnetic moment is 0.000 μB/atom. The density of states at the Fermi level comes out at 0.2590 states/eV per atom. The formation energy comes out at -0.19 eV per atom.

a b c (Å): 4.842 4.842 2.862
angles (deg): 90.00 90.00 103.84
Fractional coordinates of all 4 atoms:
Ta 0.000 0.500 0.500
Al 0.500 0.500 0.000
Li 0.500 0.000 0.500
Al 0.000 0.000 0.000

***

6.
Computed, not measured: an optimized crystal structure of Li2TaAl at the PBE level of DFT.

Results
The distance to the lowest polymorph of the same formula comes out at 369 meV/atom. The total magnetic moment is 0.000 μB/atom. The density of states at the Fermi level comes out at 0.3650 states/eV per atom. The formation energy comes out at 0.39 eV per atom.

a b c (Å): 4.344 4.344 4.344
angles (deg): 60.00 60.00 60.00
Fractional coordinates of all 4 atoms:
Al 0.000 0.000 0.000
Ta 0.500 0.500 0.500
Li 0.750 0.750 0.750
Li 0.250 0.250 0.250